1.
# Si2Sn2Te PBEsol relaxed
# - Formation energy without anion corrections: 154 meV/atom
# - Density: 6102 kg/m³
# - Uncorrected energy: -4.55 eV/atom
data_Si2Sn2Te
_chemical_formula_sum 'Si4 Sn4 Te2'
_space_group_name_H-M_alt 'I 4/m m m'
_space_group_IT_number 139
_space_group_name_Hall '-I 4 2'
_cell_length_a 3.694
_cell_length_b 3.694
_cell_length_c 16.798
_cell_angle_alpha 90.00
_cell_angle_beta 90.00
_cell_angle_gamma 90.00
loop_
_atom_site_label
_atom_site_type_symbol
_atom_site_fract_x
_atom_site_fract_y
_atom_site_fract_z
_atom_site_occupancy
Si1 Si 0.000 0.500 0.250 1
Sn1 Sn 0.000 0.000 0.113 1
Te1 Te 0.000 0.000 0.500 1


2.
# Ti2SiSn PBEsol relaxed
# - Formation energy without anion corrections: -165 meV/atom
# - Density: 6017 kg/m³
# - Uncorrected energy: -6.83 eV/atom
data_Ti2SiSn
_chemical_formula_sum 'Ti8 Si4 Sn4'
_space_group_name_H-M_alt 'F m -3 m'
_space_group_IT_number 225
_space_group_name_Hall '-F 4 2 3'
_cell_length_a 6.445
_cell_length_b 6.445
_cell_length_c 6.445
_cell_angle_alpha 90.00
_cell_angle_beta 90.00
_cell_angle_gamma 90.00
loop_
_atom_site_label
_atom_site_type_symbol
_atom_site_fract_x
_atom_site_fract_y
_atom_site_fract_z
_atom_site_occupancy
Ti1 Ti 0.250 0.250 0.250 1
Si1 Si 0.000 0.000 0.000 1
Sn1 Sn 0.000 0.000 0.500 1


3.
# V6SiSn PBEsol relaxed
# - Formation energy without anion corrections: -285 meV/atom
# - Density: 6888 kg/m³
# - Uncorrected energy: -8.76 eV/atom
data_V6SiSn
_chemical_formula_sum 'V6 Si1 Sn1'
_space_group_name_H-M_alt 'P m -3'
_space_group_IT_number 200
_space_group_name_Hall '-P 2 2 3'
_cell_length_a 4.778
_cell_length_b 4.778
_cell_length_c 4.778
_cell_angle_alpha 90.00
_cell_angle_beta 90.00
_cell_angle_gamma 90.00
loop_
_atom_site_label
_atom_site_type_symbol
_atom_site_fract_x
_atom_site_fract_y
_atom_site_fract_z
_atom_site_occupancy
V1 V 0.000 0.234 0.500 1
Si1 Si 0.000 0.000 0.000 1
Sn1 Sn 0.500 0.500 0.500 1


4.
# ZnSi3Sn PBEsol relaxed
# - Formation energy without anion corrections: 777 meV/atom
# - Density: 4400 kg/m³
# - Uncorrected energy: -3.84 eV/atom
data_ZnSi3Sn
_chemical_formula_sum 'Zn1 Si3 Sn1'
_space_group_name_H-M_alt 'P m -3 m'
_space_group_IT_number 221
_space_group_name_Hall '-P 4 2 3'
_cell_length_a 4.661
_cell_length_b 4.661
_cell_length_c 4.661
_cell_angle_alpha 90.00
_cell_angle_beta 90.00
_cell_angle_gamma 90.00
loop_
_atom_site_label
_atom_site_type_symbol
_atom_site_fract_x
_atom_site_fract_y
_atom_site_fract_z
_atom_site_occupancy
Zn1 Zn 0.000 0.000 0.000 1
Si1 Si 0.000 0.000 0.500 1
Sn1 Sn 0.500 0.500 0.500 1


5.
# Zr2Si2Sn PBEsol relaxed
# - Formation energy without anion corrections: -583 meV/atom
# - Density: 6173 kg/m³
# - Uncorrected energy: -7.37 eV/atom
data_Zr2Si2Sn
_chemical_formula_sum 'Zr4 Si4 Sn2'
_space_group_name_H-M_alt 'I 4/m m m'
_space_group_IT_number 139
_space_group_name_Hall '-I 4 2'
_cell_length_a 3.500
_cell_length_b 3.500
_cell_length_c 15.695
_cell_angle_alpha 90.00
_cell_angle_beta 90.00
_cell_angle_gamma 90.00
loop_
_atom_site_label
_atom_site_type_symbol
_atom_site_fract_x
_atom_site_fract_y
_atom_site_fract_z
_atom_site_occupancy
Zr1 Zr 0.000 0.000 0.115 1
Si1 Si 0.000 0.500 0.250 1
Sn1 Sn 0.000 0.000 0.500 1


6.
# SrSi2 PBEsol relaxed
# - Formation energy without anion corrections: -411 meV/atom
# - Density: 3488 kg/m³
# - Uncorrected energy: -4.86 eV/atom
data_SrSi2
_chemical_formula_sum 'Sr4 Si8'
_space_group_name_H-M_alt 'P 41 3 2'
_space_group_IT_number 213
_space_group_name_Hall 'P 4bd 2ab 3'
_cell_length_a 6.494
_cell_length_b 6.494
_cell_length_c 6.494
_cell_angle_alpha 90.00
_cell_angle_beta 90.00
_cell_angle_gamma 90.00
loop_
_atom_site_label
_atom_site_type_symbol
_atom_site_fract_x
_atom_site_fract_y
_atom_site_fract_z
_atom_site_occupancy
Sr1 Sr 0.125 0.375 0.625 1
Si1 Si 0.077 0.923 0.423 1


7.
# Sr3Si2 PBEsol relaxed
# - Formation energy without anion corrections: -191 meV/atom
# - Density: 3301 kg/m³
# - Uncorrected energy: -3.59 eV/atom
data_Sr3Si2
_chemical_formula_sum 'Sr3 Si2'
_space_group_name_H-M_alt 'P -3 m 1'
_space_group_IT_number 164
_space_group_name_Hall '-P 3 2"'
_cell_length_a 5.3370
_cell_length_b 5.3370
_cell_length_c 6.5061
_cell_angle_alpha 90.00
_cell_angle_beta 90.00
_cell_angle_gamma 120.00
loop_
_atom_site_label
_atom_site_type_symbol
_atom_site_fract_x
_atom_site_fract_y
_atom_site_fract_z
_atom_site_occupancy
Sr1 Sr 0.0000 0.0000 0.0000 1
Sr2 Sr 0.3333 0.6667 0.3183 1
Si1 Si 0.3333 0.6667 0.8144 1


8.
# SrSi5 PBEsol relaxed
# - Formation energy without anion corrections: 150 meV/atom
# - Density: 3632 kg/m³
# - Uncorrected energy: -4.95 eV/atom
data_SrSi5
_chemical_formula_sum 'Sr4 Si20'
_space_group_name_H-M_alt 'F -4 3 m'
_space_group_IT_number 216
_space_group_name_Hall 'F -4 2 3'
_cell_length_a 7.471
_cell_length_b 7.471
_cell_length_c 7.471
_cell_angle_alpha 90.00
_cell_angle_beta 90.00
_cell_angle_gamma 90.00
loop_
_atom_site_label
_atom_site_type_symbol
_atom_site_fract_x
_atom_site_fract_y
_atom_site_fract_z
_atom_site_occupancy
Sr1 Sr 0.000 0.000 0.000 1
Si1 Si 0.123 0.123 0.623 1
Si2 Si 0.250 0.250 0.250 1


9.
# SrSi6 PBEsol relaxed
# - Formation energy without anion corrections: -149 meV/atom
# - Density: 3222 kg/m³
# - Uncorrected energy: -5.34 eV/atom
data_SrSi6
_chemical_formula_sum 'Sr4 Si24'
_space_group_name_H-M_alt 'C m c m'
_space_group_IT_number 63
_space_group_name_Hall '-C 2c 2'
_cell_length_a 4.460
_cell_length_b 10.217
_cell_length_c 11.588
_cell_angle_alpha 90.00
_cell_angle_beta 90.00
_cell_angle_gamma 90.00
loop_
_atom_site_label
_atom_site_type_symbol
_atom_site_fract_x
_atom_site_fract_y
_atom_site_fract_z
_atom_site_occupancy
Sr1 Sr 0.000 0.227 0.250 1
Si1 Si 0.000 0.057 0.647 1
Si2 Si 0.000 0.254 0.538 1
Si3 Si 0.000 0.477 0.602 1


10.
# SrSi2 PBEsol relaxed
# - Formation energy without anion corrections: -320 meV/atom
# - Density: 3250 kg/m³
# - Uncorrected energy: -4.76 eV/atom
data_SrSi2
_chemical_formula_sum 'Sr4 Si8'
_space_group_name_H-M_alt 'P n m a'
_space_group_IT_number 62
_space_group_name_Hall '-P 2ac 2n'
_cell_length_a 9.037
_cell_length_b 4.217
_cell_length_c 7.713
_cell_angle_alpha 90.00
_cell_angle_beta 90.00
_cell_angle_gamma 90.00
loop_
_atom_site_label
_atom_site_type_symbol
_atom_site_fract_x
_atom_site_fract_y
_atom_site_fract_z
_atom_site_occupancy
Sr1 Sr 0.212 0.250 0.067 1
Si1 Si 0.014 0.250 0.717 1
Si2 Si 0.069 0.250 0.418 1


11.
# Sr2Si PBEsol relaxed
# - Formation energy without anion corrections: -393 meV/atom
# - Density: 3515 kg/m³
# - Uncorrected energy: -3.54 eV/atom
data_Sr2Si
_chemical_formula_sum 'Sr8 Si4'
_space_group_name_H-M_alt 'P n m a'
_space_group_IT_number 62
_space_group_name_Hall '-P 2ac 2n'
_cell_length_a 7.962
_cell_length_b 5.080
_cell_length_c 9.501
_cell_angle_alpha 90.00
_cell_angle_beta 90.00
_cell_angle_gamma 90.00
loop_
_atom_site_label
_atom_site_type_symbol
_atom_site_fract_x
_atom_site_fract_y
_atom_site_fract_z
_atom_site_occupancy
Sr1 Sr 0.019 0.250 0.176 1
Sr2 Sr 0.153 0.250 0.578 1
Si1 Si 0.248 0.750 0.397 1


12.
# Sr2Si PBEsol relaxed
# - Formation energy without anion corrections: -328 meV/atom
# - Density: 3698 kg/m³
# - Uncorrected energy: -3.47 eV/atom
data_Sr2Si
_chemical_formula_sum 'Sr4 Si2'
_space_group_name_H-M_alt 'P 63 m c'
_space_group_IT_number 186
_space_group_name_Hall 'P 6c -2c'
_cell_length_a 5.3498
_cell_length_b 5.3498
_cell_length_c 7.3648
_cell_angle_alpha 90.00
_cell_angle_beta 90.00
_cell_angle_gamma 120.00
loop_
_atom_site_label
_atom_site_type_symbol
_atom_site_fract_x
_atom_site_fract_y
_atom_site_fract_z
_atom_site_occupancy
Sr1 Sr 0.0000 0.0000 0.0000 1
Sr2 Sr 0.3333 0.6667 0.2476 1
Si1 Si 0.3333 0.6667 0.7533 1